1.
A relaxed Pu2HgIr2 crystal. Source: Alexandria, functional PBE.

Structure (POSCAR):
```
Pu2HgIr2
1.0
-1.112 0.651 3.412
-7.205 0.635 -2.470
-1.035 -7.493 1.093
Ir Hg Pu
4 2 4
Direct
0.500 0.135 0.865
0.500 0.865 0.135
0.500 0.365 0.365
0.500 0.635 0.635
0.500 0.000 0.500
0.500 0.500 0.000
0.000 0.665 0.335
0.000 0.165 0.165
0.000 0.835 0.835
0.000 0.335 0.665
```

Magnetization   19.3 Bohr magnetons per cell
Total energy   -0.716 Ry per atom
ΔH_f (0 K)   -402 meV/atom
DOS(E_F)   2.599 states/eV/atom
Crystal system   tetragonal

=====

2.
A relaxed PmThOsPt crystal. Source: Alexandria, functional PBE.

Structure (POSCAR):
```
PmThOsPt
1.0
-3.035 -3.665 -1.676
0.432 -1.662 -4.745
1.862 -4.602 -0.902
Pm Th Os Pt
1 1 1 1
Direct
0.500 0.500 0.500
0.000 0.000 0.000
0.250 0.250 0.250
0.750 0.750 0.750
```

Magnetization   0.0 Bohr magnetons per cell
Total energy   -0.581 Ry per atom
ΔH_f (0 K)   -548 meV/atom
DOS(E_F)   0.804 states/eV/atom
Crystal system   cubic

=====

3.
A relaxed PmMgAu crystal. Source: Alexandria, functional PBE.

Structure (POSCAR):
```
PmMgAu
1.0
-1.186 2.171 -2.427
-1.947 -2.544 -1.323
-2.963 1.766 5.502
Au Mg Pm
1 1 1
Direct
0.936 0.936 0.873
0.312 0.312 0.625
0.601 0.601 0.202
```

Magnetization   0.0 Bohr magnetons per cell
Total energy   -0.271 Ry per atom
ΔH_f (0 K)   -476 meV/atom
DOS(E_F)   1.100 states/eV/atom
Crystal system   tetragonal

=====

4.
A relaxed Sr2AsBr crystal. Source: Alexandria, functional PBE.

Structure (POSCAR):
```
Sr2AsBr
1.0
3.957 0.000 0.000
0.000 4.053 -0.082
0.000 0.245 8.251
Br As Sr
1 1 2
Direct
0.500 0.750 0.750
0.500 0.250 0.250
0.000 0.745 0.448
0.000 0.755 0.052
```

Magnetization   0.0 Bohr magnetons per cell
Total energy   -0.280 Ry per atom
Energy relative to the elements, uncorrected   -1.39 eV per atom
DOS(E_F)   0.054 states/eV/atom
Crystal system   monoclinic

=====

5.
A relaxed BaFe2I6Cl2 crystal. Source: Alexandria, functional PBE.

Structure (POSCAR):
```
BaFe2I6Cl2
1.0
-7.444 0.097 2.127
3.589 -6.751 -1.225
2.939 -0.306 10.300
Cl I Fe Ba
2 6 2 1
Direct
0.333 0.667 0.527
0.667 0.333 0.473
0.996 0.365 0.193
0.369 0.004 0.193
0.631 0.996 0.807
0.004 0.635 0.807
0.635 0.631 0.193
0.365 0.369 0.807
0.333 0.667 0.727
0.667 0.333 0.273
0.000 0.000 0.000
```

Magnetization   10.0 Bohr magnetons per cell
Total energy   -0.266 Ry per atom
Energy relative to the elements, uncorrected   -0.72 eV per atom
Crystal system   trigonal

=====

6.
A relaxed Mg2ZnRh crystal. Source: Alexandria, functional PBE.

Structure (POSCAR):
```
Mg2ZnRh
1.0
4.489 0.000 0.000
2.245 3.888 0.000
2.245 1.296 3.665
Mg Rh Zn
2 1 1
Direct
0.000 0.000 0.000
0.250 0.250 0.250
0.500 0.500 0.500
0.750 0.750 0.750
```

Magnetization   0.0 Bohr magnetons per cell
Total energy   -0.240 Ry per atom
ΔH_f (0 K)   -313 meV/atom
DOS(E_F)   0.236 states/eV/atom
Crystal system   cubic

=====

7.
A relaxed AcTiO2 crystal. Source: Alexandria, functional PBE.

Structure (POSCAR):
```
AcTiO2
1.0
3.442 0.000 0.000
1.721 2.981 0.000
1.721 0.994 6.495
Ac O Ti
1 2 1
Direct
0.000 0.000 0.000
0.125 0.125 0.624
0.875 0.875 0.376
0.500 0.500 0.500
```

Magnetization   0.0 Bohr magnetons per cell
Total energy   -0.557 Ry per atom
Energy relative to the elements, uncorrected   -2.10 eV per atom
DOS(E_F)   0.461 states/eV/atom
Crystal system   trigonal

=====

8.
A relaxed Cu2OsW crystal. Source: Alexandria, functional PBE.

Structure (POSCAR):
```
Cu2OsW
1.0
-0.302 2.204 4.058
-1.404 -2.996 3.235
3.416 -0.222 -3.114
Os Cu W
1 2 1
Direct
0.500 0.500 0.000
0.750 0.250 0.500
0.000 0.000 0.000
0.250 0.750 0.500
```

Magnetization   0.0 Bohr magnetons per cell
Total energy   -0.579 Ry per atom
ΔH_f (0 K)   221 meV/atom
DOS(E_F)   0.474 states/eV/atom
Crystal system   orthorhombic

=====

9.
A relaxed MgFeSb2 crystal. Source: Alexandria, functional PBE.

Structure (POSCAR):
```
MgFeSb2
1.0
-1.087 -2.874 -3.137
3.560 -1.075 -0.249
0.983 -4.148 3.460
Sb Mg Fe
2 1 1
Direct
0.500 0.272 0.337
0.000 0.984 0.903
0.500 0.543 0.787
0.000 0.701 0.473
```

Magnetization   2.3 Bohr magnetons per cell
Total energy   -0.326 Ry per atom
Energy relative to the elements, uncorrected   0.15 eV per atom
DOS(E_F)   0.947 states/eV/atom
Crystal system   monoclinic

=====

10.
A relaxed Pr2PaBiO8 crystal. Source: Alexandria, functional PBE.

Structure (POSCAR):
```
Pr2PaBiO8
1.0
-2.955 2.014 1.300
-3.468 -4.207 -1.367
0.528 -3.858 7.176
O Pr Bi Pa
8 2 1 1
Direct
0.500 0.772 0.478
0.500 0.767 0.976
0.500 0.233 0.024
0.000 0.206 0.768
0.000 0.741 0.713
0.000 0.794 0.232
0.500 0.228 0.522
0.000 0.259 0.287
0.500 0.504 0.254
0.500 0.496 0.746
0.000 0.000 0.000
0.000 0.000 0.500
```

Magnetization   0.0 Bohr magnetons per cell
Total energy   -0.582 Ry per atom
Energy relative to the elements, uncorrected   -2.70 eV per atom
DOS(E_F)   0.005 states/eV/atom
Crystal system   monoclinic

=====

11.
A relaxed Zn2RhSe crystal. Source: Alexandria, functional PBE.

Structure (POSCAR):
```
Zn2RhSe
1.0
-2.076 5.594 2.047
-4.260 1.598 4.370
5.270 -2.865 -1.952
Zn Se Rh
2 1 1
Direct
0.679 0.179 0.500
0.020 0.020 0.000
0.311 0.811 0.500
0.489 0.489 0.000
```

Magnetization   0.0 Bohr magnetons per cell
Total energy   -0.264 Ry per atom
Energy relative to the elements, uncorrected   -0.24 eV per atom
DOS(E_F)   0.293 states/eV/atom
Crystal system   orthorhombic

=====

12.
A relaxed CsSiAsSe2 crystal. Source: Alexandria, functional PBE.

Structure (POSCAR):
```
CsSiAsSe2
1.0
-0.866 -5.428 1.075
0.040 -1.094 -5.492
5.803 -0.883 0.218
Si As Se Cs
1 1 2 1
Direct
0.500 0.500 0.500
0.000 0.000 0.500
0.000 0.500 0.000
0.500 0.000 0.000
0.000 0.000 0.000
```

Magnetization   0.0 Bohr magnetons per cell
Total energy   -0.141 Ry per atom
Energy relative to the elements, uncorrected   1.67 eV per atom
DOS(E_F)   0.929 states/eV/atom
Crystal system   tetragonal